Entry 1:
Compound: La4SiTeS2
Source: the Alexandria database
Functional: GGA-PBE
Structure: relaxed

abc: 7.428 4.328 7.609
angles: 90.00 109.39 90.00
Positions (direct):
La (0.232, 0.000, 0.227)
La (0.243, 0.500, 0.761)
La (0.757, 0.500, 0.239)
La (0.768, 0.000, 0.773)
Si (0.500, 0.000, 0.000)
Te (0.500, 0.500, 0.500)
S (0.000, 0.000, 0.500)
S (0.000, 0.500, 0.000)

---

Entry 2:
Compound: La8Si3Te4S
Source: the Alexandria database
Functional: GGA-PBE
Structure: relaxed

abc: 9.035 9.035 9.035
angles: 58.77 58.77 58.77
Positions (direct):
La (0.238, 0.742, 0.742)
La (0.242, 0.242, 0.242)
La (0.258, 0.258, 0.762)
La (0.258, 0.762, 0.258)
La (0.742, 0.238, 0.742)
La (0.742, 0.742, 0.238)
La (0.758, 0.758, 0.758)
La (0.762, 0.258, 0.258)
Si (0.000, 0.000, 0.500)
Si (0.000, 0.500, 0.000)
Si (0.500, 0.000, 0.000)
Te (0.000, 0.000, 0.000)
Te (0.000, 0.500, 0.500)
Te (0.500, 0.000, 0.500)
Te (0.500, 0.500, 0.000)
S (0.500, 0.500, 0.500)

---

Entry 3:
Compound: LaSiTe2S
Source: the Alexandria database
Functional: GGA-PBE
Structure: relaxed

abc: 5.466 5.466 4.561
angles: 90.00 90.00 90.00
Positions (direct):
La (0.000, 0.000, 0.000)
Si (0.500, 0.500, 0.000)
Te (0.000, 0.500, 0.500)
Te (0.500, 0.000, 0.500)
S (0.500, 0.500, 0.500)

---

| no. | E_form (uncorrected) (kJ per mole of atoms) |
| --- | --- |
| 1 | -159.2 |
| 2 | -133.0 |
| 3 | -18.6 |